(1)
{
  "formula": "LiCdMo",
  "functional": "PBE",
  "state": "relaxed",
  "lattice_angstrom": [[-1.331, 2.276, 4.346], [1.331, -2.276, 4.346], [1.331, 2.276, -4.346]],
  "species": ["Li", "Cd", "Mo"],
  "frac_coords": [[0.000, 0.000, 0.000], [0.333, 0.333, 0.000], [0.671, 0.671, 0.000]],
  "ef_ev_per_atom": 0.524,
  "sg": "Imm2",
  "volume_a3_per_cell": 52.6
}


(2)
{
  "formula": "SrLiW2",
  "functional": "PBE",
  "state": "relaxed",
  "lattice_angstrom": [[-1.926, 1.926, 5.380], [1.926, -1.926, 5.380], [1.926, 1.926, -5.380]],
  "species": ["Sr", "Li", "W", "W"],
  "frac_coords": [[0.000, 0.000, 0.000], [0.500, 0.500, 0.000], [0.250, 0.750, 0.500], [0.750, 0.250, 0.500]],
  "ef_ev_per_atom": 1.027,
  "sg": "I4/mmm",
  "volume_a3_per_cell": 79.8
}


(3)
{
  "formula": "AlTcBr2",
  "functional": "PBE",
  "state": "relaxed",
  "lattice_angstrom": [[0.000, 3.470, 3.470], [3.470, 0.000, 3.470], [3.470, 3.470, 0.000]],
  "species": ["Al", "Tc", "Br", "Br"],
  "frac_coords": [[0.000, 0.000, 0.000], [0.250, 0.250, 0.250], [0.500, 0.500, 0.500], [0.750, 0.750, 0.750]],
  "sg": "F-43m",
  "e_tot_ev_per_atom": -3.505,
  "volume_a3_per_cell": 83.6
}


(4)
{
  "formula": "Cd2InPb",
  "functional": "PBE",
  "state": "relaxed",
  "lattice_angstrom": [[4.670, 0.000, 0.000], [0.000, 7.208, 0.000], [-1.321, 0.000, 6.401]],
  "species": ["Cd", "Cd", "Cd", "Cd", "In", "In", "Pb", "Pb"],
  "frac_coords": [[0.040, 0.030, 0.247], [0.040, 0.470, 0.247], [0.960, 0.530, 0.753], [0.960, 0.970, 0.753], [0.408, 0.750, 0.538], [0.592, 0.250, 0.462], [0.488, 0.250, 0.946], [0.512, 0.750, 0.054]],
  "ef_ev_per_atom": 0.054,
  "sg": "P2_1/m",
  "volume_a3_per_cell": 215.5
}